No. 1
Below is MnBiPd2 after structural relaxation, with properties calculated at the GGA-PBE level.

a = 9.821 Å, b = 9.821 Å, c = 9.821 Å
α = 156.14°, β = 156.14°, γ = 34.00°
Sites, in units of the cell vectors:
Mn  0.000  0.000  0.000
Mn  0.750  0.250  0.500
Bi  0.250  0.750  0.500
Bi  0.500  0.500  0.000
Pd  0.111  0.625  0.986
Pd  0.375  0.361  0.486
Pd  0.639  0.125  0.014
Pd  0.875  0.889  0.514

The space group is I-42d. Its total energy is -46.15 eV/cell. The calculation puts the calculated volume at 19.360 Å³/atom. The formation enthalpy at 0 K comes out at 0.36 eV per formula unit.



No. 2
Below is KGa2OsF after structural relaxation, with properties calculated at the GGA-PBE level.

a = 5.989 Å, b = 5.989 Å, c = 4.868 Å
α = 90.00°, β = 90.00°, γ = 90.00°
Sites, in units of the cell vectors:
K  0.000  0.000  0.000
Ga  0.000  0.500  0.000
Ga  0.500  0.000  0.000
Os  0.000  0.000  0.500
F  0.500  0.500  0.500

The space group is P4/mmm. Its total energy is -11.62 eV/cell. The calculation puts the calculated volume at 34.923 Å³/atom. As for the raw formation energy: 1.726 eV per atom.



No. 3
Below is Na3TcAs after structural relaxation, with properties calculated at the GGA-PBE level.

a = 5.499 Å, b = 5.499 Å, c = 5.499 Å
α = 90.00°, β = 90.00°, γ = 90.00°
Sites, in units of the cell vectors:
Na  0.000  0.000  0.500
Na  0.000  0.500  0.000
Na  0.500  0.000  0.000
Tc  0.500  0.500  0.500
As  0.000  0.000  0.000

The space group is Pm-3m. Its total energy is -14.54 eV/cell. The calculation puts the calculated volume at 33.261 Å³/atom. The formation enthalpy at 0 K comes out at 4.43 eV per formula unit.



No. 4
Below is CeCSe after structural relaxation, with properties calculated at the GGA-PBE level.

a = 8.328 Å, b = 8.328 Å, c = 2.979 Å
α = 98.97°, β = 98.97°, γ = 37.02°
Sites, in units of the cell vectors:
Ce  0.144  0.144  0.373
Ce  0.856  0.856  0.627
C  0.016  0.016  0.764
C  0.984  0.984  0.236
Se  0.325  0.325  0.082
Se  0.675  0.675  0.918

The space group is C2/m. Its total energy is -40.26 eV/cell. The calculation puts the calculated volume at 20.450 Å³/atom. As for the raw formation energy: -0.496 eV per atom.



No. 5
Below is PmTh2Cu after structural relaxation, with properties calculated at the GGA-PBE level.

a = 10.282 Å, b = 10.282 Å, c = 10.282 Å
α = 20.45°, β = 20.45°, γ = 20.45°
Sites, in units of the cell vectors:
Pm  0.000  0.000  0.000
Th  0.236  0.236  0.236
Th  0.764  0.764  0.764
Cu  0.500  0.500  0.500

The space group is R-3m. Its total energy is -23.26 eV/cell. The calculation puts the calculated volume at 29.038 Å³/atom. The formation enthalpy at 0 K comes out at 0.43 eV per formula unit.



No. 6
Below is CaMg2CuSi2 after structural relaxation, with properties calculated at the GGA-PBE level.

a = 6.436 Å, b = 6.436 Å, c = 6.436 Å
α = 132.04°, β = 132.04°, γ = 70.17°
Sites, in units of the cell vectors:
Ca  0.000  0.000  0.000
Mg  0.250  0.750  0.500
Mg  0.750  0.250  0.500
Cu  0.500  0.500  0.000
Si  0.290  0.290  0.000
Si  0.710  0.710  0.000

The space group is I4/mmm. Its total energy is -19.57 eV/cell. The calculation puts the calculated volume at 24.022 Å³/atom. As for the raw formation energy: 0.093 eV per atom.



No. 7
Below is LaDyTeI after structural relaxation, with properties calculated at the GGA-PBE level.

a = 5.464 Å, b = 5.464 Å, c = 5.464 Å
α = 60.00°, β = 60.00°, γ = 60.00°
Sites, in units of the cell vectors:
La  0.000  0.000  0.000
Dy  0.500  0.500  0.500
Te  0.250  0.250  0.250
I  0.750  0.750  0.750

The space group is F-43m. Its total energy is -18.47 eV/cell. The calculation puts the calculated volume at 28.834 Å³/atom. As for the raw formation energy: -1.062 eV per atom.



No. 8
Below is RbAc2Sn3Au6 after structural relaxation, with properties calculated at the GGA-PBE level.

a = 4.605 Å, b = 4.605 Å, c = 15.683 Å
α = 90.00°, β = 90.00°, γ = 90.00°
Sites, in units of the cell vectors:
Rb  0.000  0.000  0.000
Ac  0.000  0.000  0.371
Ac  0.000  0.000  0.629
Sn  0.500  0.500  0.113
Sn  0.500  0.500  0.500
Sn  0.500  0.500  0.887
Au  0.000  0.500  0.213
Au  0.000  0.500  0.787
Au  0.500  0.000  0.213
Au  0.500  0.000  0.787
Au  0.500  0.500  0.323
Au  0.500  0.500  0.677

The space group is P4/mmm. Its total energy is -46.33 eV/cell. The calculation puts the calculated volume at 27.719 Å³/atom. The formation enthalpy at 0 K comes out at -5.47 eV per formula unit.



Copy entry 8 word for word.
Below is RbAc2Sn3Au6 after structural relaxation, with properties calculated at the GGA-PBE level.

a = 4.605 Å, b = 4.605 Å, c = 15.683 Å
α = 90.00°, β = 90.00°, γ = 90.00°
Sites, in units of the cell vectors:
Rb  0.000  0.000  0.000
Ac  0.000  0.000  0.371
Ac  0.000  0.000  0.629
Sn  0.500  0.500  0.113
Sn  0.500  0.500  0.500
Sn  0.500  0.500  0.887
Au  0.000  0.500  0.213
Au  0.000  0.500  0.787
Au  0.500  0.000  0.213
Au  0.500  0.000  0.787
Au  0.500  0.500  0.323
Au  0.500  0.500  0.677

The space group is P4/mmm. Its total energy is -46.33 eV/cell. The calculation puts the calculated volume at 27.719 Å³/atom. The formation enthalpy at 0 K comes out at -5.47 eV per formula unit.



- calculated volume of number 4 (CeCSe)?
  20.450 Å³/atom



- Which value of calculated volume does entry 5 give?
  29.038 Å³/atom